Record 1
Tm4Ge6O19 after structural relaxation. Source: Alexandria, functional GGA-PBE.

Values from the calculation:
Space-group type: No. 197
Crystal system: cubic
Total moment, μB per cell: 2.175
E_form (uncorrected), meV per atom: -2166

abc: 7.601 7.601 7.601
angles: 109.47 109.47 109.47
Site moments in Bohr magnetons follow the coordinates.
Fractional positions:
Tm: 0.000 0.702 0.000  -0.01
O: 0.000 0.000 0.000  0.01
Tm: 0.702 0.000 0.000  -0.01
O: 0.652 0.000 0.652  0.05
Ge: 0.500 0.161 0.661  -0.01
Ge: 0.661 0.500 0.161  -0.01
O: 0.348 0.348 0.000  0.05
O: 0.614 0.355 0.313  0.13
O: 0.000 0.348 0.348  0.05
O: 0.741 0.386 0.699  0.13
O: 0.000 0.652 0.652  0.05
O: 0.301 0.687 0.041  0.13
O: 0.959 0.645 0.259  0.13
O: 0.313 0.614 0.355  0.13
O: 0.652 0.652 0.000  0.05
O: 0.348 0.000 0.348  0.05
Tm: 0.000 0.000 0.702  -0.01
O: 0.386 0.699 0.741  0.13
O: 0.645 0.259 0.959  0.13
O: 0.355 0.313 0.614  0.13
O: 0.259 0.959 0.645  0.13
O: 0.699 0.741 0.386  0.13
Ge: 0.500 0.839 0.339  -0.01
O: 0.041 0.301 0.687  0.13
Ge: 0.339 0.500 0.839  -0.01
Ge: 0.161 0.661 0.500  -0.01
Tm: 0.298 0.298 0.298  -0.01
Ge: 0.839 0.339 0.500  -0.01
O: 0.687 0.041 0.301  0.13

***

Record 2
TmGe2O4 after structural relaxation. Source: Alexandria, functional GGA-PBE.

Values from the calculation:
Space-group type: No. 139
Crystal system: tetragonal
Total moment, μB per cell: 0.536
E_form (uncorrected), meV per atom: -1443

abc: 5.810 5.810 5.810
angles: 105.32 105.32 118.14
Site moments in Bohr magnetons follow the coordinates.
Fractional positions:
O: 0.187 0.501 0.688  -0.01
Ge: 0.750 0.250 0.500  -0.02
O: 0.813 0.499 0.312  -0.01
Tm: 0.500 0.500 0.000  -0.19
Ge: 0.250 0.750 0.500  -0.02
O: 0.499 0.187 0.686  -0.01
O: 0.501 0.813 0.314  -0.01